(1)
An optimized crystal structure of SrAlOF2, computed with PBE.

Calculated values
For the energy above the most stable polymorph in this dataset, the calculation gives 85.31 kJ per mole of atoms. Its total energy is -23.04 eV per formula unit. The energy relative to the elements, uncorrected comes out at -1.78 eV/atom.

Cell and atoms, written as POSCAR:
```
SrAlOF2
1.0
-3.650 2.704 0.948
-1.084 -2.725 3.596
2.767 2.720 2.896
Sr Al O F
1 1 1 2
Cartesian
0.000 0.000 0.000
-0.983 1.350 3.720
1.384 1.360 1.448
-0.542 -1.362 1.798
-1.825 1.352 0.474
```

(2)
An optimized crystal structure of SrAlOF2, computed with PBE.

Calculated values
For the energy above the most stable polymorph in this dataset, the calculation gives 0.00 kJ per mole of atoms. Its total energy is -27.46 eV per formula unit. The energy relative to the elements, uncorrected comes out at -2.67 eV/atom.

Cell and atoms, written as POSCAR:
```
SrAlOF2
1.0
-2.024 -3.798 0.406
3.601 -1.745 1.635
-1.088 0.944 3.404
Sr Al O F
1 1 1 2
Cartesian
0.244 -2.299 2.723
0.000 0.000 0.000
-0.544 0.472 1.702
1.800 -0.872 0.818
-1.012 -1.899 0.203
```

(3)
An optimized crystal structure of SrAlO2F, computed with PBE.

Calculated values
Its total energy is -22.26 eV per formula unit. The energy relative to the elements, uncorrected comes out at -1.01 eV/atom.

Cell and atoms, written as POSCAR:
```
SrAlO2F
1.0
4.682 0.000 0.000
0.000 4.682 0.000
0.000 0.000 4.588
Sr Al O F
1 1 2 1
Cartesian
0.000 0.000 0.000
2.341 2.341 2.294
0.000 2.341 0.000
2.341 0.000 0.000
0.000 0.000 2.294
```